A geometry-optimized K2TlHgO4 structure, computed with PBE.

POSCAR file:
```
K2TlHgO4
1.0
6.6020 0.0000 0.0000
0.0000 3.3754 0.0000
-2.6838 0.0000 6.1101
K Tl Hg O
2 1 1 4
direct
0.0000 0.0000 0.0000
0.5000 0.5000 0.0000
0.0000 0.5000 0.5000
0.5000 0.0000 0.5000
0.1981 0.0000 0.7151
0.2903 0.5000 0.3135
0.7097 0.5000 0.6865
0.8019 0.0000 0.2849
```

symmetry	P2/m
E_tot	-3.8991	eV per atom
theoretical density	6.67	Mg/m³
formation energy without anion corrections	-812	meV per atom